Np2Ni3As4Ir: optimized geometry, PBE-GGA.

Summary:
The calculation puts the total energy at -0.5534 Ry/atom. The calculation puts the spin magnetization at 8.2 μB/f.u.

POSCAR file:
```
Np2Ni3As4Ir
1.0
-1.8258 0.4177 -3.7546
-3.7081 -0.9949 1.6925
-1.6329 9.1733 1.8146
As Np Ni Ir
4 2 3 1
direct
0.5000 0.0000 0.6423 As
0.0000 0.0000 0.0000 As
0.0000 0.5000 0.3577 As
0.5000 0.5000 0.0000 As
0.0000 0.5000 0.7549 Np
0.5000 0.0000 0.2451 Np
0.5000 0.0000 0.8848 Ni
0.0000 0.0000 0.5000 Ni
0.0000 0.5000 0.1152 Ni
0.5000 0.5000 0.5000 Ir
```